1.
Compound: LiLaMoBr2
Source: the Alexandria database
Functional: PBE
Structure: relaxed

E_form (uncorrected)	0.2602	eV/atom
D(E_F)	0.57	states/eV/atom
uncorrected energy	-3.94	eV per atom

```
data_LiLaMoBr2
_space_group_name_H-M_alt 'P 4/m m m'
_space_group_IT_number 123
_space_group_name_Hall '-P 4 2'
_cell_length_a 4.744
_cell_length_b 4.744
_cell_length_c 6.178
_cell_angle_alpha 90.00
_cell_angle_beta 90.00
_cell_angle_gamma 90.00
loop_
_atom_site_label
_atom_site_type_symbol
_atom_site_fract_x
_atom_site_fract_y
_atom_site_fract_z
Li1 Li 0.000 0.000 0.000
La1 La 0.000 0.000 0.500
Mo1 Mo 0.500 0.500 0.500
Br1 Br 0.000 0.500 0.000
```



2.
Compound: LiLa2Br2N2
Source: the Alexandria database
Functional: PBE
Structure: relaxed

E_form (uncorrected)	-1.3272	eV/atom
D(E_F)	0.31	states/eV/atom
uncorrected energy	-5.87	eV per atom

```
data_LiLa2Br2N2
_space_group_name_H-M_alt 'I 4/m m m'
_space_group_IT_number 139
_space_group_name_Hall '-I 4 2'
_cell_length_a 4.015
_cell_length_b 4.015
_cell_length_c 19.163
_cell_angle_alpha 90.00
_cell_angle_beta 90.00
_cell_angle_gamma 90.00
loop_
_atom_site_label
_atom_site_type_symbol
_atom_site_fract_x
_atom_site_fract_y
_atom_site_fract_z
Li1 Li 0.000 0.000 0.000
La1 La 0.000 0.000 0.418
Br1 Br 0.000 0.000 0.165
N1 N 0.000 0.500 0.000
```



3.
Compound: Li2LaBrN
Source: the Alexandria database
Functional: PBE
Structure: relaxed

E_form (uncorrected)	-0.9448	eV/atom
D(E_F)	0.46	states/eV/atom
uncorrected energy	-4.70	eV per atom

```
data_Li2LaBrN
_space_group_name_H-M_alt 'C m c m'
_space_group_IT_number 63
_space_group_name_Hall '-C 2c 2'
_cell_length_a 3.722
_cell_length_b 13.942
_cell_length_c 7.312
_cell_angle_alpha 90.00
_cell_angle_beta 90.00
_cell_angle_gamma 90.00
loop_
_atom_site_label
_atom_site_type_symbol
_atom_site_fract_x
_atom_site_fract_y
_atom_site_fract_z
Li1 Li 0.000 0.142 0.032
La1 La 0.000 0.487 0.250
Br1 Br 0.000 0.267 0.750
N1 N 0.000 0.000 0.000
```